Entry 1:
The following is a PBE calculation of a relaxed La3Ni2Sb4 crystal, from Alexandria.

abc: 4.5859 6.3857 8.9692
angles: 103.72 90.00 111.04
Last column: nearest neighbours and their distance in Å.
Atoms (fractional coordinates):
La: 0.6507 0.3014 0.6776  1 Ni 2.90
La: 0.0000 0.0000 0.0000  6 Sb 3.28-3.40, 4 Ni 3.42
La: 0.3493 0.6986 0.3224  1 Ni 2.90
Ni: 0.5851 0.1701 0.2897  3 Sb 2.48-2.53
Ni: 0.4149 0.8299 0.7103  3 Sb 2.48-2.53
Sb: 0.7025 0.4049 0.0912  1 Ni 2.53
Sb: 0.2975 0.5951 0.9088  1 Ni 2.53
Sb: 0.9196 0.8391 0.6081  2 Ni 2.48
Sb: 0.0804 0.1609 0.3919  2 Ni 2.48

Calculated values
- Calculated density: 7.15 g/cm3
- Crystal system: monoclinic
- Formation energy (no corrections): -0.822 eV per atom
- Symmetry: C2/m

***

Entry 2:
The following is a PBE calculation of a relaxed LaNiSb2 crystal, from Alexandria.

abc: 5.1726 5.1726 5.1726
angles: 60.00 60.00 60.00
Last column: nearest neighbours and their distance in Å.
Atoms (fractional coordinates):
Sb: 0.2500 0.2500 0.2500  4 La 3.17, 4 Ni 3.17
Sb: 0.7500 0.7500 0.7500  4 La 3.17, 4 Ni 3.17
Ni: 0.0000 0.0000 0.0000  8 Sb 3.17
La: 0.5000 0.5000 0.5000  8 Sb 3.17

Calculated values
- Calculated density: 7.48 g/cm3
- Crystal system: cubic
- Formation energy (no corrections): -0.178 eV per atom
- Symmetry: Fm-3m

***

Entry 3:
The following is a PBE calculation of a relaxed La2NiSb crystal, from Alexandria.

abc: 4.3667 4.3667 7.6794
angles: 73.63 73.63 60.02
Last column: nearest neighbours and their distance in Å.
Atoms (fractional coordinates):
La: 0.0086 0.0086 0.9724  3 Ni 2.99-3.00, 3 Sb 3.23
La: 0.4914 0.4914 0.5276  3 Ni 2.99-3.00, 3 Sb 3.23
Ni: 0.7500 0.7500 0.7500  6 La 2.99-3.00
Sb: 0.2500 0.2500 0.2500  6 La 3.23

Calculated values
- Calculated density: 6.34 g/cm3
- Crystal system: monoclinic
- Formation energy (no corrections): -0.604 eV per atom
- Symmetry: C2/m

***

| no. | magnetization (Bohr magnetons per cell) |
| --- | --- |
| 1 | 0.00 |
| 2 | 0.00 |
| 3 | 0.00 |